{
  "formula": "Ho4Tl5Hg2",
  "functional": "GGA-PBE",
  "state": "relaxed",
  "volume_a3_per_atom": 27.03,
  "final_energy_ev_per_atom": -3.081,
  "magmom_total_mub_per_fu": 0.0,
  "formation_energy_ev_per_atom": -0.29,
  "lattice_angstrom": [[3.615, 0.000, 0.000], [0.000, 8.353, 0.261], [0.000, -0.498, 9.830]],
  "species": ["Tl", "Tl", "Tl", "Tl", "Tl", "Hg", "Hg", "Ho", "Ho", "Ho", "Ho"],
  "frac_coords": [[0.000, 0.866, 0.874], [0.000, 0.541, 0.339], [0.000, 0.459, 0.661], [0.000, 0.500, 0.000], [0.000, 0.134, 0.126], [0.000, 0.912, 0.370], [0.000, 0.088, 0.630], [0.500, 0.767, 0.602], [0.500, 0.782, 0.137], [0.500, 0.218, 0.863], [0.500, 0.233, 0.398]]
}